No. 1
! LiGa2Pd4 (PBE-GGA, relaxed); values from VASP
&SYSTEM
  ibrav = 0, nat = 7, ntyp = 3
/
ATOMIC_SPECIES
Ga 69.72 Ga.upf
Pd 106.42 Pd.upf
Li 6.94 Li.upf
ATOMIC_POSITIONS angstrom
Ga 0.885 -2.795 -1.695
Ga 0.989 -6.854 -3.165
Pd -0.375 -4.832 -1.332
Pd 2.249 -4.817 -3.528
Pd 1.790 -1.084 0.129
Pd -0.054 -0.335 -2.069
Li 0.000 0.000 0.000
CELL_PARAMETERS angstrom
-0.107 -0.670 -4.138
3.580 -2.168 0.258
-1.599 -6.811 -0.980
! Formation energy from the elements = -0.129 eV per atom
! SG = I4/mmm

***

No. 2
! NaTl2Se2S (PBE-GGA, relaxed); values from VASP
&SYSTEM
  ibrav = 0, nat = 12, ntyp = 4
/
ATOMIC_SPECIES
Na 22.99 Na.upf
Tl 204.38 Tl.upf
Se 78.96 Se.upf
S 32.06 S.upf
ATOMIC_POSITIONS angstrom
Na -3.644 1.232 -5.985
Na -4.348 4.751 -0.426
Tl -7.049 2.851 -3.660
Tl -7.521 1.768 0.812
Tl -3.785 0.192 -1.484
Tl -4.257 -0.891 2.988
Se -4.083 -0.961 -4.019
Se -4.327 -1.844 0.356
Se -5.961 1.363 3.103
Se -5.717 2.246 -1.272
S -5.367 3.389 -5.593
S -1.326 0.990 -1.069
CELL_PARAMETERS angstrom
-4.781 5.905 0.926
-2.475 -0.831 -7.480
-3.526 -3.760 5.781
! Formation energy from raw total energies = -0.409 eV per atom
! SG = Cmc2_1

***

No. 3
! BaIn4Hg (PBE-GGA, relaxed); values from VASP
&SYSTEM
  ibrav = 0, nat = 12, ntyp = 3
/
ATOMIC_SPECIES
Ba 137.33 Ba.upf
In 114.82 In.upf
Hg 200.59 Hg.upf
ATOMIC_POSITIONS angstrom
Ba -5.171 -7.225 -1.275
Ba -1.947 -1.428 -3.097
In -3.140 -4.233 -0.723
In -3.978 -4.420 -3.649
In -3.801 -1.633 0.287
In -3.316 -7.020 -4.658
In -0.739 -4.846 -4.498
In -6.378 -3.806 0.126
In 0.894 -3.513 -1.364
In 0.000 0.000 0.000
Hg -1.053 -5.988 -1.762
Hg -6.064 -2.664 -2.610
CELL_PARAMETERS angstrom
-1.149 1.750 -5.261
1.787 -7.026 -2.728
-7.756 -3.377 3.617
! Formation energy from the elements = -0.142 eV per atom
! SG = Cmcm

***

No. 4
! Ce2PuTlC (PBE-GGA, relaxed); values from VASP
&SYSTEM
  ibrav = 0, nat = 5, ntyp = 4
/
ATOMIC_SPECIES
Ce 140.12 Ce.upf
Pu 244.00 Pu.upf
Tl 204.38 Tl.upf
C 12.01 C.upf
ATOMIC_POSITIONS angstrom
Ce -0.548 -2.133 1.213
Ce -2.448 0.391 -0.419
Pu -0.160 1.214 2.063
Tl -3.156 -0.528 2.857
C 0.000 0.000 0.000
CELL_PARAMETERS angstrom
-0.319 2.428 4.127
-4.896 0.782 -0.838
-1.097 -4.266 2.426
! Formation energy from the elements = -0.213 eV per atom
! SG = P4/mmm

***

No. 5
! GdScInRh (PBE-GGA, relaxed); values from VASP
&SYSTEM
  ibrav = 0, nat = 4, ntyp = 4
/
ATOMIC_SPECIES
Sc 44.96 Sc.upf
Gd 157.25 Gd.upf
Rh 102.91 Rh.upf
In 114.82 In.upf
ATOMIC_POSITIONS angstrom
Sc 0.000 0.000 0.000
Gd 4.987 2.879 2.036
Rh 2.493 1.440 1.018
In 7.480 4.319 3.054
CELL_PARAMETERS angstrom
4.987 0.000 0.000
2.493 4.319 0.000
2.493 1.440 4.072
! Formation energy from the elements = -0.533 eV per atom
! SG = F-43m

***

No. 6
! V8Ge2B (PBE-GGA, relaxed); values from VASP
&SYSTEM
  ibrav = 0, nat = 11, ntyp = 3
/
ATOMIC_SPECIES
V 50.94 V.upf
Ge 72.64 Ge.upf
B 10.81 B.upf
ATOMIC_POSITIONS angstrom
V 0.000 0.728 5.499
V 2.093 -0.601 1.907
V 2.093 2.129 3.642
V 0.000 1.192 0.039
V 0.000 0.611 2.910
V 0.000 3.342 4.644
V 2.093 2.013 1.052
V 2.093 1.549 6.512
Ge 2.093 -0.267 4.446
Ge 0.000 3.007 2.106
B 2.093 0.000 0.000
CELL_PARAMETERS angstrom
4.186 0.000 0.000
0.000 5.149 -0.197
-2.093 -2.409 6.749
! Formation energy from the elements = -0.191 eV per atom
! SG = C2/m

***

M_tot values (in μB per formula unit) by entry order: 0.00, 0.00, 0.00, 6.58, 7.08, 0.00.
Density of states at the Fermi level values (in states/eV/atom) by entry order: 0.44, 0.37, 0.46, 1.44, 0.61, 0.71.
Uncorrected energy values (in eV/atom) by entry order: -4.23, -3.27, -2.34, -7.77, -8.16, -8.27.